Li3MgAu12 | PBE | relaxed

Properties
V ... 17.08 A^3/atom
Energy of formation from the pure elements ... -5.81 eV per formula unit

Unit cell a=4.082 b=4.082 c=16.397 alpha=90.00 beta=90.00 gamma=90.00
Positions (direct):
Li  0.000  0.000  0.253
Li  0.000  0.000  0.500
Li  0.000  0.000  0.747
Mg  0.000  0.000  0.000
Au  0.500  0.500  0.000
Au  0.500  0.500  0.252
Au  0.500  0.500  0.500
Au  0.500  0.500  0.748
Au  0.500  0.000  0.128
Au  0.500  0.000  0.376
Au  0.500  0.000  0.624
Au  0.500  0.000  0.872
Au  0.000  0.500  0.128
Au  0.000  0.500  0.376
Au  0.000  0.500  0.624
Au  0.000  0.500  0.872



Ac12ThSn7 | PBE | relaxed

Properties
V ... 44.74 A^3/atom
Energy of formation from the pure elements ... -5.29 eV per formula unit

Unit cell a=10.306 b=10.306 c=10.306 alpha=107.66 beta=107.66 gamma=107.66
Positions (direct):
Ac  0.926  0.308  0.768
Ac  0.692  0.232  0.074
Ac  0.475  0.152  0.392
Ac  0.848  0.608  0.525
Ac  0.232  0.074  0.692
Ac  0.608  0.525  0.848
Ac  0.392  0.475  0.152
Ac  0.768  0.926  0.308
Ac  0.152  0.392  0.475
Ac  0.525  0.848  0.608
Ac  0.308  0.768  0.926
Ac  0.074  0.692  0.232
Th  0.000  0.000  0.000
Sn  0.957  0.656  0.882
Sn  0.344  0.118  0.043
Sn  0.118  0.043  0.344
Sn  0.500  0.500  0.500
Sn  0.882  0.957  0.656
Sn  0.656  0.882  0.957
Sn  0.043  0.344  0.118



- The highest V belongs to which entry?
  Ac12ThSn7